Record 1
First-principles (PBE) data for crystalline TlAsIrSe2 at its relaxed geometry, as listed in the Alexandria database.

abc: 5.242 5.242 5.243
angles: 90.00 90.00 90.00
Space group P4/mmm (No. 123)
Symmetry-distinct sites (fractional):
Tl 0.000 0.000 0.000 x1
As 0.000 0.000 0.500 x1
Ir 0.500 0.500 0.500 x1
Se 0.000 0.500 0.000 x2

Properties
Excess energy over the best structure of this formula in the dataset   1505 meV per atom


Record 2
First-principles (PBE) data for crystalline VAsIrSe2 at its relaxed geometry, as listed in the Alexandria database.

abc: 4.643 4.643 4.710
angles: 90.00 90.00 90.00
Space group P4/mmm (No. 123)
Symmetry-distinct sites (fractional):
V 0.000 0.000 0.000 x1
As 0.000 0.000 0.500 x1
Ir 0.500 0.500 0.500 x1
Se 0.000 0.500 0.000 x2

Properties
Excess energy over the best structure of this formula in the dataset   0 meV per atom


Record 3
First-principles (PBE) data for crystalline VAsIrSe2 at its relaxed geometry, as listed in the Alexandria database.

abc: 5.067 5.067 4.549
angles: 90.00 90.00 90.00
Space group P4/mmm (No. 123)
Symmetry-distinct sites (fractional):
V 0.000 0.000 0.000 x1
As 0.500 0.500 0.000 x1
Ir 0.500 0.500 0.500 x1
Se 0.000 0.500 0.500 x2

Properties
Excess energy over the best structure of this formula in the dataset   114 meV per atom


Record 4
First-principles (PBE) data for crystalline As2IrWSe at its relaxed geometry, as listed in the Alexandria database.

abc: 4.690 4.690 4.902
angles: 90.00 90.00 90.00
Space group P4/mmm (No. 123)
Symmetry-distinct sites (fractional):
As 0.000 0.500 0.000 x2
Ir 0.000 0.000 0.000 x1
W 0.500 0.500 0.500 x1
Se 0.000 0.000 0.500 x1

Properties
Excess energy over the best structure of this formula in the dataset   231 meV per atom


Record 5
First-principles (PBE) data for crystalline As2IrWSe at its relaxed geometry, as listed in the Alexandria database.

abc: 4.841 4.841 4.762
angles: 90.00 90.00 90.00
Space group P4/mmm (No. 123)
Symmetry-distinct sites (fractional):
As 0.000 0.500 0.000 x2
Ir 0.000 0.000 0.500 x1
W 0.500 0.500 0.000 x1
Se 0.500 0.500 0.500 x1

Properties
Excess energy over the best structure of this formula in the dataset   0 meV per atom


Record 6
First-principles (PBE) data for crystalline YAs2IrSe at its relaxed geometry, as listed in the Alexandria database.

abc: 4.731 4.731 5.309
angles: 90.00 90.00 90.00
Space group P4/mmm (No. 123)
Symmetry-distinct sites (fractional):
Y 0.000 0.000 0.000 x1
As 0.000 0.500 0.500 x2
Ir 0.500 0.500 0.500 x1
Se 0.500 0.500 0.000 x1

Properties
Excess energy over the best structure of this formula in the dataset   0 meV per atom


Record 7
First-principles (PBE) data for crystalline YAs2IrSe at its relaxed geometry, as listed in the Alexandria database.

abc: 5.360 5.360 5.242
angles: 90.00 90.00 90.00
Space group P4/mmm (No. 123)
Symmetry-distinct sites (fractional):
Y 0.000 0.000 0.000 x1
As 0.000 0.500 0.000 x2
Ir 0.500 0.500 0.500 x1
Se 0.000 0.000 0.500 x1

Properties
Excess energy over the best structure of this formula in the dataset   1257 meV per atom


Record 8
First-principles (PBE) data for crystalline ZnAsIrSe2 at its relaxed geometry, as listed in the Alexandria database.

abc: 4.768 4.768 4.632
angles: 90.00 90.00 90.00
Space group P4/mmm (No. 123)
Symmetry-distinct sites (fractional):
Zn 0.000 0.000 0.000 x1
As 0.000 0.000 0.500 x1
Ir 0.500 0.500 0.500 x1
Se 0.000 0.500 0.000 x2

Properties
Excess energy over the best structure of this formula in the dataset   638 meV per atom


no.,formation energy without anion corrections (eV per atom)
1,1.768
2,0.796
3,0.910
4,1.417
5,1.186
6,-0.099
7,1.158
8,1.177